Record 1
Below is a relaxed structure of Pr3Sm12Zn, with properties calculated at the PBE-GGA level.

Cell: 5.0733 5.0733 20.4405 Å, 90.00 90.00 90.00°
Last column: nearest neighbours and their distance in Å.
Sites, in units of the cell vectors:
Pr 0.0000 0.0000 0.0000  12 Sm 3.59-3.65
Pr 0.0000 0.0000 0.2561  12 Sm 3.59-3.65
Pr 0.0000 0.0000 0.7439  12 Sm 3.59-3.65
Sm 0.0000 0.5000 0.1283  8 Sm 3.59-3.69, 4 Pr 3.64-3.65
Sm 0.0000 0.5000 0.3842  8 Sm 3.47-3.60, 2 Zn 3.47, 2 Pr 3.65
Sm 0.0000 0.5000 0.6158  8 Sm 3.47-3.60, 2 Zn 3.47, 2 Pr 3.65
Sm 0.0000 0.5000 0.8717  8 Sm 3.59-3.69, 4 Pr 3.64-3.65
Sm 0.5000 0.0000 0.1283  8 Sm 3.59-3.69, 4 Pr 3.64-3.65
Sm 0.5000 0.0000 0.3842  8 Sm 3.47-3.60, 2 Zn 3.47, 2 Pr 3.65
Sm 0.5000 0.0000 0.6158  8 Sm 3.47-3.60, 2 Zn 3.47, 2 Pr 3.65
Sm 0.5000 0.0000 0.8717  8 Sm 3.59-3.69, 4 Pr 3.64-3.65
Sm 0.5000 0.5000 0.0000  4 Pr 3.59, 8 Sm 3.65
Sm 0.5000 0.5000 0.2594  4 Pr 3.59, 8 Sm 3.60-3.69
Sm 0.5000 0.5000 0.5000  8 Sm 3.47, 4 Zn 3.59
Sm 0.5000 0.5000 0.7406  4 Pr 3.59, 8 Sm 3.60-3.69
Zn 0.0000 0.0000 0.5000  12 Sm 3.47-3.59

Values from the calculation:
The value obtained for the calculated total energy is -0.3304 Ry per atom.



Record 2
Below is a relaxed structure of ZrCdAg2, with properties calculated at the PBE-GGA level.

Cell: 9.8864 2.9228 5.5458 Å, 90.00 98.22 90.00°
Last column: nearest neighbours and their distance in Å.
Sites, in units of the cell vectors:
Zr 0.0000 0.0000 0.0000  2 Zr 2.92, 7 Ag 2.93-3.17, 3 Cd 3.09-3.14
Zr 0.5000 0.5000 0.0000  2 Zr 2.92, 7 Ag 2.93-3.17, 3 Cd 3.09-3.14
Cd 0.2542 0.5000 0.2865  2 Cd 2.92, 7 Ag 2.93-3.23, 3 Zr 3.09-3.14
Cd 0.7542 0.0000 0.2865  2 Cd 2.92, 7 Ag 2.93-3.23, 3 Zr 3.09-3.14
Ag 0.0028 0.5000 0.5084  5 Ag 2.92-3.07, 3 Cd 2.93-2.97, 4 Zr 3.10-3.17
Ag 0.2479 0.0000 0.7665  5 Ag 2.92-3.07, 3 Zr 2.93-3.02, 4 Cd 3.04-3.23
Ag 0.5028 0.0000 0.5084  5 Ag 2.92-3.07, 3 Cd 2.93-2.97, 4 Zr 3.10-3.17
Ag 0.7479 0.5000 0.7665  5 Ag 2.92-3.07, 3 Zr 2.93-3.02, 4 Cd 3.04-3.23

Values from the calculation:
The value obtained for the calculated total energy is -0.2769 Ry per atom.



Record 3
Below is a relaxed structure of SiAgPt2, with properties calculated at the PBE-GGA level.

Cell: 2.9737 3.8652 5.6786 Å, 90.00 104.57 90.00°
Last column: nearest neighbours and their distance in Å.
Sites, in units of the cell vectors:
Si 0.0000 0.0000 0.0000  4 Pt 2.42
Ag 0.0000 0.0000 0.5000  2 Si 2.84, 8 Pt 2.86-2.87, 2 Ag 2.97
Pt 0.3627 0.5000 0.2261  2 Si 2.42
Pt 0.6373 0.5000 0.7739  2 Si 2.42

Values from the calculation:
The calculation puts the uncorrected formation energy at -0.26 eV per atom.



Record 4
Below is a relaxed structure of Mn2TcP, with properties calculated at the PBE-GGA level.

Cell: 3.1807 2.9713 10.9119 Å, 90.00 90.00 90.00°
Last column: nearest neighbours and their distance in Å.
Sites, in units of the cell vectors:
Mn 0.0000 0.0000 0.0000  4 P 2.32
Mn 0.0000 0.5000 0.5000  4 P 2.32
Mn 0.5000 0.0000 0.3568  1 P 2.37, 4 Tc 2.55
Mn 0.5000 0.5000 0.8568  1 P 2.37, 4 Tc 2.55
Tc 0.0000 0.0000 0.7345  2 P 2.37, 4 Mn 2.55
Tc 0.0000 0.5000 0.2345  2 P 2.37, 4 Mn 2.55
P 0.5000 0.0000 0.5737  5 Mn 2.32-2.37, 2 Tc 2.37
P 0.5000 0.5000 0.0737  5 Mn 2.32-2.37, 2 Tc 2.37

Values from the calculation:
The offset from the most stable computed form is 6 kJ/mol of formula units.



Record 5
Below is a relaxed structure of BaMnHg2Sb, with properties calculated at the PBE-GGA level.

Cell: 5.2626 5.2626 5.2334 Å, 90.00 90.00 90.00°
Last column: nearest neighbours and their distance in Å.
Sites, in units of the cell vectors:
Ba 0.0000 0.0000 0.0000  8 Hg 3.71, 4 Sb 3.72
Mn 0.5000 0.5000 0.5000  2 Sb 2.62, 4 Hg 2.63
Hg 0.0000 0.5000 0.5000  2 Mn 2.63
Hg 0.5000 0.0000 0.5000  2 Mn 2.63
Sb 0.5000 0.5000 0.0000  2 Mn 2.62

Values from the calculation:
The calculation puts the uncorrected formation energy at -0.25 eV per atom.



Record 6
Below is a relaxed structure of Rb4Cu3AuCl12, with properties calculated at the PBE-GGA level.

Cell: 8.6011 8.6011 8.6011 Å, 109.47 109.47 109.47°
Last column: nearest neighbours and their distance in Å.
Sites, in units of the cell vectors:
Rb 0.0000 0.0000 0.5000  12 Cl 3.51
Rb 0.0000 0.5000 0.0000  12 Cl 3.51
Rb 0.5000 0.0000 0.0000  12 Cl 3.51
Rb 0.5000 0.5000 0.5000  12 Cl 3.51
Cu 0.0000 0.5000 0.5000  6 Cl 2.41-2.48
Cu 0.5000 0.0000 0.5000  6 Cl 2.41-2.48
Cu 0.5000 0.5000 0.0000  6 Cl 2.41-2.48
Au 0.0000 0.0000 0.0000  6 Cl 2.56
Cl 0.0000 0.2578 0.2578  1 Cu 2.41, 1 Au 2.56
Cl 0.0000 0.7422 0.7422  1 Cu 2.41, 1 Au 2.56
Cl 0.2500 0.5000 0.7500  2 Cu 2.48
Cl 0.2500 0.7500 0.5000  2 Cu 2.48
Cl 0.2578 0.0000 0.2578  1 Cu 2.41, 1 Au 2.56
Cl 0.2578 0.2578 0.0000  1 Cu 2.41, 1 Au 2.56
Cl 0.5000 0.2500 0.7500  2 Cu 2.48
Cl 0.5000 0.7500 0.2500  2 Cu 2.48
Cl 0.7422 0.0000 0.7422  1 Cu 2.41, 1 Au 2.56
Cl 0.7422 0.7422 0.0000  1 Cu 2.41, 1 Au 2.56
Cl 0.7500 0.2500 0.5000  2 Cu 2.48
Cl 0.7500 0.5000 0.2500  2 Cu 2.48

Values from the calculation:
The calculation puts the uncorrected formation energy at -1.05 eV per atom.



Record 7
Below is a relaxed structure of CsTl6Cd4, with properties calculated at the PBE-GGA level.

Cell: 8.9006 8.9006 5.0846 Å, 90.00 90.00 120.00°
Last column: nearest neighbours and their distance in Å.
Sites, in units of the cell vectors:
Cs 0.0000 0.0000 0.0000  12 Tl 4.01-4.48, 6 Cd 4.15
Tl 0.2009 0.4017 0.5000  4 Cd 3.19-3.26, 2 Tl 3.54
Tl 0.2009 0.7991 0.5000  4 Cd 3.19-3.26, 2 Tl 3.54
Tl 0.5334 0.0668 0.0000  5 Cd 3.08-3.21
Tl 0.5334 0.4666 0.0000  5 Cd 3.08-3.21
Tl 0.5983 0.7991 0.5000  4 Cd 3.19-3.26, 2 Tl 3.54
Tl 0.9332 0.4666 0.0000  5 Cd 3.08-3.21
Cd 0.3333 0.6667 0.0000  9 Tl 3.08-3.26
Cd 0.4254 0.2127 0.5000  6 Tl 3.19-3.21, 2 Cd 3.22
Cd 0.7873 0.2127 0.5000  6 Tl 3.19-3.21, 2 Cd 3.22
Cd 0.7873 0.5746 0.5000  6 Tl 3.19-3.21, 2 Cd 3.22

Values from the calculation:
The value obtained for the calculated total energy is -0.1275 Ry per atom.



Record 8
Below is a relaxed structure of ThHRu, with properties calculated at the PBE-GGA level.

Cell: 3.9181 3.9181 7.0650 Å, 90.00 90.00 90.00°
Last column: nearest neighbours and their distance in Å.
Sites, in units of the cell vectors:
Th 0.0000 0.0000 0.0000  1 H 2.25
Th 0.5000 0.5000 0.5000  1 H 2.25
H 0.0000 0.0000 0.3189  1 Ru 1.64
H 0.5000 0.5000 0.8189  1 Ru 1.64
Ru 0.0000 0.0000 0.5506  1 H 1.64
Ru 0.5000 0.5000 0.0506  1 H 1.64

Values from the calculation:
The offset from the most stable computed form is 96 kJ/mol of formula units.



Record 9
Below is a relaxed structure of Ta2BeTl, with properties calculated at the PBE-GGA level.

Cell: 3.4991 4.8514 8.3700 Å, 90.00 90.00 90.00°
Last column: nearest neighbours and their distance in Å.
Sites, in units of the cell vectors:
Ta 0.0000 0.0000 0.0000  6 Ta 2.79-2.99, 2 Tl 3.03
Ta 0.0000 0.5000 0.2595  2 Be 2.49, 2 Ta 2.79
Ta 0.5000 0.0000 0.2595  2 Be 2.49, 2 Ta 2.79
Ta 0.5000 0.5000 0.0000  6 Ta 2.79-2.99, 2 Tl 3.03
Be 0.0000 0.0000 0.4713  2 Ta 2.49, 2 Tl 2.62
Be 0.5000 0.5000 0.4713  2 Ta 2.49, 2 Tl 2.62
Tl 0.0000 0.5000 0.7042  2 Be 2.62
Tl 0.5000 0.0000 0.7042  2 Be 2.62

Values from the calculation:
The offset from the most stable computed form is 36 kJ/mol of formula units.